No. 1
{
  "formula": "CeNdCu",
  "functional": "PBE-GGA",
  "state": "optimized geometry",
  "lattice": [[-3.389, 0.021, 1.107], [-0.453, -3.279, -1.325], [3.661, -0.782, 5.480]],
  "species": ["Nd", "Ce", "Cu"],
  "frac_coords": [[0.023, 0.023, 0.045], [0.307, 0.307, 0.614], [0.670, 0.670, 0.341]],
  "formation_enthalpy_0k_mev_per_atom": 5,
  "relative_energy_ev_per_atom": 0.000,
  "space_group": "I4mm (107)"
}



No. 2
{
  "formula": "SrMg10Au2",
  "functional": "PBE-GGA",
  "state": "optimized geometry",
  "lattice": [[5.371, 0.000, 2.190], [2.686, 7.185, 1.095], [-0.035, 0.000, 7.768]],
  "species": ["Sr", "Mg", "Mg", "Mg", "Mg", "Mg", "Mg", "Mg", "Mg", "Mg", "Mg", "Au", "Au"],
  "frac_coords": [[0.000, 0.000, 0.000], [0.348, 0.636, 0.668], [0.652, 0.364, 0.332], [0.984, 0.364, 0.668], [0.016, 0.636, 0.332], [0.000, 0.000, 0.500], [0.500, 0.000, 0.500], [0.283, 0.227, 0.208], [0.717, 0.773, 0.792], [0.510, 0.773, 0.208], [0.490, 0.227, 0.792], [0.000, 0.500, 0.000], [0.500, 0.500, 0.000]],
  "formation_enthalpy_0k_mev_per_atom": -222,
  "space_group": "Fmmm (69)"
}



No. 3
{
  "formula": "TiNbTe6",
  "functional": "PBE-GGA",
  "state": "optimized geometry",
  "lattice": [[6.863, 0.253, 0.502], [3.643, 5.897, 0.510], [3.931, 2.281, 6.595]],
  "species": ["Ti", "Nb", "Te", "Te", "Te", "Te", "Te", "Te"],
  "frac_coords": [[0.000, 0.000, 0.000], [0.500, 0.500, 0.500], [0.042, 0.450, 0.754], [0.691, 0.101, 0.822], [0.603, 0.188, 0.322], [0.309, 0.899, 0.178], [0.958, 0.550, 0.246], [0.397, 0.812, 0.678]],
  "raw_formation_energy_ev_per_atom": -0.25,
  "space_group": "P-1 (2)"
}



No. 4
{
  "formula": "MgPaPb2",
  "functional": "PBE-GGA",
  "state": "optimized geometry",
  "lattice": [[4.354, 0.000, 0.000], [0.000, 4.926, 0.000], [0.000, 0.000, 4.926]],
  "species": ["Mg", "Pa", "Pb", "Pb"],
  "frac_coords": [[0.500, 0.500, 0.500], [0.500, 0.000, 0.000], [0.000, 0.000, 0.500], [0.000, 0.500, 0.000]],
  "formation_enthalpy_0k_mev_per_atom": -38,
  "relative_energy_ev_per_atom": 0.000,
  "space_group": "P4/mmm (123)"
}



No. 5
{
  "formula": "TaCd2Br",
  "functional": "PBE-GGA",
  "state": "optimized geometry",
  "lattice": [[-2.306, -1.847, -0.805], [1.730, -0.179, -4.548], [3.147, -4.528, 1.375]],
  "species": ["Cd", "Cd", "Br", "Ta"],
  "frac_coords": [[0.000, 0.000, 0.000], [0.500, 0.500, 0.000], [0.000, 0.500, 0.500], [0.500, 0.000, 0.500]],
  "relative_energy_ev_per_atom": 0.489,
  "raw_formation_energy_ev_per_atom": 0.50,
  "space_group": "Pmmm (47)"
}



No. 6
{
  "formula": "DyPaSbAu",
  "functional": "PBE-GGA",
  "state": "optimized geometry",
  "lattice": [[5.231, 0.000, 0.000], [2.615, 4.530, 0.000], [2.615, 1.510, 4.271]],
  "species": ["Sb", "Pa", "Au", "Dy"],
  "frac_coords": [[0.500, 0.500, 0.500], [0.250, 0.250, 0.250], [0.000, 0.000, 0.000], [0.750, 0.750, 0.750]],
  "raw_formation_energy_ev_per_atom": -0.44,
  "space_group": "F-43m (216)"
}



No. 7
{
  "formula": "HoBe2Pd2Au",
  "functional": "PBE-GGA",
  "state": "optimized geometry",
  "lattice": [[-2.254, 1.408, 3.350], [-3.605, -0.372, -2.270], [-0.595, -5.249, 1.806]],
  "species": ["Ho", "Be", "Be", "Pd", "Pd", "Au"],
  "frac_coords": [[0.000, 0.000, 0.500], [0.500, 0.000, 0.000], [0.000, 0.500, 0.000], [0.500, 0.500, 0.749], [0.500, 0.500, 0.251], [0.000, 0.000, 0.000]],
  "formation_enthalpy_0k_mev_per_atom": -304,
  "space_group": "P4/mmm (123)"
}



No. 8
{
  "formula": "Nd4DyY5",
  "functional": "PBE-GGA",
  "state": "optimized geometry",
  "lattice": [[-2.856, -0.081, 2.125], [-1.177, -10.978, -2.000], [6.537, -1.762, 5.739]],
  "species": ["Nd", "Nd", "Nd", "Nd", "Dy", "Y", "Y", "Y", "Y", "Y"],
  "frac_coords": [[0.653, 0.250, 0.308], [0.970, 0.249, 0.940], [0.347, 0.750, 0.692], [0.030, 0.751, 0.060], [0.500, 0.000, 0.000], [0.174, 0.556, 0.349], [0.173, 0.945, 0.348], [0.827, 0.055, 0.652], [0.500, 0.500, 0.000], [0.826, 0.444, 0.651]],
  "formation_enthalpy_0k_mev_per_atom": 187,
  "relative_energy_ev_per_atom": 0.169,
  "space_group": "C2/m (12)"
}